# Rb2Pr2MgW4O16

An optimized crystal structure of Rb2Pr2MgW4O16 (GGA+U, Alexandria).

CIF file:
```
data_Rb2Pr2MgW4O16
_cell_length_a 10.826
_cell_length_b 11.586
_cell_length_c 7.592
_cell_angle_alpha 90.00
_cell_angle_beta 131.47
_cell_angle_gamma 90.00
_space_group_name_H-M_alt 'C 1 2 1'
_space_group_IT_number 5
loop_
_space_group_symop_operation_xyz
'x,y,z'
'-x,y,-z'
'x+1/2,y+1/2,z'
'-x+1/2,y+1/2,-z'
loop_
_atom_site_label
_atom_site_type_symbol
_atom_site_fract_x
_atom_site_fract_y
_atom_site_fract_z
_atom_site_occupancy
Rb1 Rb 0.000 0.000 0.000 1
Rb2 Rb 0.000 0.476 0.500 1
Pr1 Pr 0.000 0.024 0.500 1
Pr2 Pr 0.000 0.510 0.000 1
Mg1 Mg 0.000 0.251 0.000 1
W1 W 0.204 0.768 0.459 1
W2 W 0.206 0.747 0.964 1
O1 O 0.026 0.857 0.722 1
O2 O 0.030 0.654 0.251 1
O3 O 0.113 0.175 0.410 1
O4 O 0.114 0.351 0.925 1
O5 O 0.201 0.815 0.214 1
O6 O 0.223 0.412 0.384 1
O7 O 0.231 0.102 0.882 1
O8 O 0.242 0.699 0.742 1
```

Computed properties:
Polymorph energy (0 for the lowest one) ... 25 meV per atom